No. 1
Li2TcP: optimized geometry, PBE-GGA.

ρ = 4.24 Mg/m³
ΔH_f (0 K) = 141 meV/atom
Spin magnetization = 1.4 μB per formula unit

Structure (CIF):
```
data_Li2TcP
_chemical_formula_sum 'Li6 Tc3 P3'
_cell_length_a 2.7027
_cell_length_b 2.7027
_cell_length_c 26.5133
_cell_angle_alpha 90.00
_cell_angle_beta 90.00
_cell_angle_gamma 120.00
_symmetry_space_group_name_H-M 'R -3 m'
_symmetry_Int_Tables_number 166
_symmetry_space_group_name_Hall '-R 3 2"'
loop_
_atom_site_label
_atom_site_fract_x
_atom_site_fract_y
_atom_site_fract_z
Li1 0.0000 0.0000 0.2430
Tc1 0.0000 0.0000 0.0000
P1 0.0000 0.0000 0.5000
```



No. 2
Li2TcP: optimized geometry, PBE-GGA.

ρ = 3.67 Mg/m³
ΔH_f (0 K) = -122 meV/atom
Spin magnetization = 0.0 μB per formula unit

Structure (CIF):
```
data_Li2TcP
_chemical_formula_sum 'Li6 Tc3 P3'
_cell_length_a 3.0008
_cell_length_b 3.0008
_cell_length_c 24.8561
_cell_angle_alpha 90.00
_cell_angle_beta 90.00
_cell_angle_gamma 120.00
_symmetry_space_group_name_H-M 'R 3 m'
_symmetry_Int_Tables_number 160
_symmetry_space_group_name_Hall 'R 3 -2"'
loop_
_atom_site_label
_atom_site_fract_x
_atom_site_fract_y
_atom_site_fract_z
Li1 0.0000 0.0000 0.0000
Li2 0.0000 0.0000 0.2300
Tc1 0.0000 0.0000 0.4748
P1 0.0000 0.0000 0.7455
```



No. 3
Li2TcP: optimized geometry, PBE-GGA.

ρ = 4.60 Mg/m³
ΔH_f (0 K) = -228 meV/atom
Spin magnetization = 0.0 μB per formula unit

Structure (CIF):
```
data_Li2TcP
_chemical_formula_sum 'Li4 Tc2 P2'
_cell_length_a 2.855
_cell_length_b 3.968
_cell_length_c 9.102
_cell_angle_alpha 90.00
_cell_angle_beta 90.00
_cell_angle_gamma 90.00
_symmetry_space_group_name_H-M 'I m m m'
_symmetry_Int_Tables_number 71
_symmetry_space_group_name_Hall '-I 2 2'
loop_
_atom_site_label
_atom_site_fract_x
_atom_site_fract_y
_atom_site_fract_z
Li1 0.000 0.000 0.229
Tc1 0.000 0.500 0.000
P1 0.000 0.500 0.500
```